Record 1
# SrNbAu

A relaxed SrNbAu crystal (PBE, Alexandria via LeMat-Bulk).

Cell: 6.1476 4.8118 6.1475 Å, 66.95 78.69 66.95°
With the nearest neighbours (Å) after each atom.
Sites, in units of the cell vectors:
Au1 0.9517 0.3960 0.9749  3 Nb 2.83-2.89, 1 Au 3.08
Au2 0.3467 0.3960 0.5799  3 Nb 2.83-2.89, 1 Au 3.08
Nb1 0.8185 0.0734 0.7530  1 Nb 2.39
Nb2 0.1248 0.0734 0.4467  1 Nb 2.39
Sr1 0.7337 0.8114 0.3619  6 Nb 3.32-3.45, 4 Au 3.44
Sr2 0.3736 0.6715 0.0018  6 Au 3.27-3.40, 2 Nb 3.51

Properties
**Excess energy over the best structure of this formula in the dataset**: 173.2 meV/atom

=====

Record 2
# LaTbGdTl

A relaxed LaTbGdTl crystal (PBE, Alexandria via LeMat-Bulk).

Cell: 5.5745 5.5745 5.5745 Å, 60.00 60.00 60.00°
With the nearest neighbours (Å) after each atom.
Sites, in units of the cell vectors:
La1 0.7500 0.7500 0.7500  4 Gd 3.41, 4 Tl 3.41
Gd1 0.5000 0.5000 0.5000  4 La 3.41, 4 Tb 3.41
Tl1 0.0000 0.0000 0.0000  4 Tb 3.41, 4 La 3.41
Tb1 0.2500 0.2500 0.2500  4 Gd 3.41, 4 Tl 3.41

Properties
**Excess energy over the best structure of this formula in the dataset**: 0.0 meV/atom

=====

Record 3
# RbAl2InHg

A relaxed RbAl2InHg crystal (PBE, Alexandria via LeMat-Bulk).

Cell: 5.3900 6.0582 5.3900 Å, 90.00 90.00 90.00°
With the nearest neighbours (Å) after each atom.
Sites, in units of the cell vectors:
Al1 0.0000 0.0000 0.5000  2 In 2.69
Al2 0.5000 0.0000 0.0000  2 In 2.69
In1 0.0000 0.0000 0.0000  4 Al 2.69
Hg1 0.0000 0.5000 0.0000  2 In 3.03
Rb1 0.5000 0.5000 0.5000  4 Hg 3.81, 8 Al 4.05

=====

Number 1: DOS(E_F) 3.997 states/eV per cell, calculated formation energy 0.04 eV per atom. Number 2: DOS(E_F) 5.620 states/eV per cell, calculated formation energy -0.10 eV per atom. Number 3: DOS(E_F) 3.217 states/eV per cell, calculated formation energy 0.42 eV per atom.